# 1
The following is a DFT calculation (GGA-PBE) of NdY2Th3P6 after structural relaxation.

Properties
Energy of formation (eV per formula unit): -19.0
Total moment (μB/cell): 0.0

POSCAR file:
```
NdY2Th3P6
1.0
-6.133 2.336 2.780
-0.069 -4.047 -5.866
1.695 -4.909 4.813
Y P Th Nd
2 6 3 1
Direct
0.667 0.333 0.000
0.333 0.667 0.000
0.421 0.083 0.248
0.256 0.256 0.753
0.917 0.579 0.752
0.083 0.421 0.248
0.744 0.744 0.247
0.579 0.917 0.752
0.166 0.834 0.500
0.834 0.166 0.500
0.500 0.500 0.500
0.000 0.000 0.000
```

# 2
The following is a DFT calculation (GGA-PBE) of Nd5Tl2P after structural relaxation.

Properties
Energy of formation (eV per formula unit): -4.6
Total moment (μB/cell): 5.0

POSCAR file:
```
Nd5Tl2P
1.0
-1.450 -7.847 1.723
9.156 -1.729 -0.168
0.719 2.596 12.432
Tl Nd P
8 20 4
Direct
0.930 0.492 0.671
0.070 0.992 0.329
0.070 0.508 0.329
0.570 0.008 0.171
0.430 0.992 0.829
0.570 0.492 0.171
0.930 0.008 0.671
0.430 0.508 0.829
0.133 0.750 0.801
0.633 0.250 0.699
0.945 0.750 0.500
0.555 0.750 0.000
0.681 0.045 0.429
0.367 0.750 0.301
0.660 0.750 0.710
0.319 0.955 0.571
0.181 0.545 0.071
0.681 0.455 0.429
0.867 0.250 0.199
0.340 0.250 0.290
0.819 0.455 0.929
0.319 0.545 0.571
0.840 0.750 0.210
0.181 0.955 0.071
0.055 0.250 0.500
0.160 0.250 0.790
0.819 0.045 0.929
0.445 0.250 0.000
0.568 0.750 0.488
0.932 0.750 0.988
0.068 0.250 0.012
0.432 0.250 0.512
```